A relaxed InBiS2 crystal. Source: the Alexandria database, functional PBE.

Calculated values
- Density of states at the Fermi level: 0.1646 states/eV per atom
- Energy relative to the elements, uncorrected: -352 meV/atom
- Total DFT energy (no corrections): -4.07 eV per atom
- Calculated volume: 103 Å³/f.u.

Lattice parameters (Å, degrees): 3.7613 3.7613 8.3729 90.00 90.00 120.00
Closest atoms and distances in Å follow each position.
Space group P3m1 (No. 156)
Symmetry-distinct sites (fractional):
In1 0.0000 0.0000 0.0000 (multiplicity 1)  6 S 2.59-2.67
Bi1 0.3333 0.6667 0.5044 (multiplicity 1)  1 S 2.59
S1 0.3333 0.6667 0.8137 (multiplicity 1)  1 Bi 2.59, 3 In 2.67
S2 0.6667 0.3333 0.1686 (multiplicity 1)  3 In 2.59

---

A relaxed In3Bi2S8 crystal. Source: the Alexandria database, functional PBE.

Calculated values
- Density of states at the Fermi level: 0.6159 states/eV per atom
- Energy relative to the elements, uncorrected: -328 meV/atom
- Total DFT energy (no corrections): -4.10 eV per atom
- Calculated volume: 333 Å³/f.u.

Lattice parameters (Å, degrees): 13.5249 7.7071 6.7356 90.00 108.36 90.00
Closest atoms and distances in Å follow each position.
Space group C2/m (No. 12)
Symmetry-distinct sites (fractional):
In1 0.0000 0.0000 0.0000 (multiplicity 2)  6 S 2.59-2.77
In2 0.0000 0.2578 0.5000 (multiplicity 4)  6 S 2.59-2.68
Bi1 0.2335 0.5000 0.1621 (multiplicity 4)  6 S 2.83-2.92
S1 0.1127 0.0000 0.4221 (multiplicity 4)  3 In 2.66-2.77, 1 Bi 2.92
S2 0.1159 0.2324 0.9033 (multiplicity 8)  2 In 2.59-2.68, 2 Bi 2.84-2.85
S3 0.1251 0.5000 0.4589 (multiplicity 4)  2 In 2.59, 1 Bi 2.83

---

A relaxed InBiS2 crystal. Source: the Alexandria database, functional PBE.

Calculated values
- Density of states at the Fermi level: 0.0000 states/eV per atom
- Energy relative to the elements, uncorrected: -294 meV/atom
- Total DFT energy (no corrections): -4.01 eV per atom
- Calculated volume: 107 Å³/f.u.

Lattice parameters (Å, degrees): 6.1602 4.0052 17.2814 90.00 90.00 90.00
Closest atoms and distances in Å follow each position.
Space group Pnma (No. 62)
Symmetry-distinct sites (fractional):
In1 0.0963 0.2500 0.1407 (multiplicity 4)  3 S 2.65-2.88
Bi1 0.0291 0.7500 0.3921 (multiplicity 4)  4 S 2.74-2.94
S1 0.1195 0.2500 0.7942 (multiplicity 4)  2 In 2.65, 1 Bi 2.75
S2 0.2434 0.2500 0.4682 (multiplicity 4)  3 Bi 2.74-2.94, 1 In 2.88